# 1
! LiPPb2 | Alexandria | PBE-GGA | relaxed; values from VASP
! **E_form**: -0.056 eV/atom
! **Magnetization**: 0.00 μB/cell
! **Space group**: P4mm
! **E_tot**: -3.74 eV/atom
&SYSTEM
  ibrav = 0, nat = 4, ntyp = 3
/
ATOMIC_SPECIES
Li 6.94 Li.upf
P 30.97 P.upf
Pb 207.20 Pb.upf
CELL_PARAMETERS angstrom
3.6260 0.0000 0.0000
0.0000 3.6260 0.0000
0.0000 0.0000 7.1089
ATOMIC_POSITIONS crystal
Li 0.0000 0.0000 0.0000
P 0.5000 0.5000 0.1598
Pb 0.0000 0.0000 0.3883
Pb 0.5000 0.5000 0.7580

# 2
! TmZr3 | Alexandria | PBE-GGA | relaxed; values from VASP
! **E_form**: 0.020 eV/atom
! **Magnetization**: 0.00 μB/cell
! **Space group**: P6_3/mmc
! **E_tot**: -7.51 eV/atom
! **E above lowest polymorph**: 0.00 kJ per mole of atoms
&SYSTEM
  ibrav = 0, nat = 8, ntyp = 2
/
ATOMIC_SPECIES
Tm 168.93 Tm.upf
Zr 91.22 Zr.upf
CELL_PARAMETERS angstrom
6.6162 0.0000 0.0000
-3.3081 5.7298 0.0000
0.0000 0.0000 5.2143
ATOMIC_POSITIONS crystal
Tm 0.3333 0.6667 0.2500
Tm 0.6667 0.3333 0.7500
Zr 0.1626 0.3251 0.7500
Zr 0.1626 0.8374 0.7500
Zr 0.3251 0.1626 0.2500
Zr 0.6749 0.8374 0.7500
Zr 0.8374 0.1626 0.2500
Zr 0.8374 0.6749 0.2500

# 3
! SmErHf | Alexandria | PBE-GGA | relaxed; values from VASP
! **E_form**: 0.167 eV/atom
! **Magnetization**: 0.00 μB/cell
! **Space group**: P2_1/m
! **E_tot**: -6.25 eV/atom
! **E above lowest polymorph**: 3.60 kJ per mole of atoms
&SYSTEM
  ibrav = 0, nat = 6, ntyp = 3
/
ATOMIC_SPECIES
Sm 150.36 Sm.upf
Er 167.26 Er.upf
Hf 178.49 Hf.upf
CELL_PARAMETERS angstrom
3.3488 0.0000 0.0000
0.0000 4.7803 0.0000
-1.6376 0.0000 10.4872
ATOMIC_POSITIONS crystal
Sm 0.0553 0.2500 0.1016
Sm 0.9447 0.7500 0.8984
Er 0.3619 0.2500 0.7276
Er 0.6381 0.7500 0.2724
Hf 0.2160 0.2500 0.4309
Hf 0.7840 0.7500 0.5691

# 4
! Hf2MoP | Alexandria | PBE-GGA | relaxed; values from VASP
! **E_form**: 0.108 eV/atom
! **Magnetization**: 0.00 μB/cell
! **Space group**: I-42d
! **E_tot**: -8.93 eV/atom
&SYSTEM
  ibrav = 0, nat = 16, ntyp = 3
/
ATOMIC_SPECIES
Hf 178.49 Hf.upf
Mo 95.94 Mo.upf
P 30.97 P.upf
CELL_PARAMETERS angstrom
7.4567 0.0000 0.0000
0.0000 7.4567 0.0000
0.0000 0.0000 5.4294
ATOMIC_POSITIONS crystal
Hf 0.2157 0.2500 0.1250
Hf 0.2500 0.7157 0.3750
Hf 0.2500 0.7843 0.8750
Hf 0.2843 0.2500 0.6250
Hf 0.7157 0.7500 0.6250
Hf 0.7500 0.2157 0.8750
Hf 0.7500 0.2843 0.3750
Hf 0.7843 0.7500 0.1250
Mo 0.0000 0.0000 0.5000
Mo 0.0000 0.5000 0.7500
Mo 0.5000 0.0000 0.2500
Mo 0.5000 0.5000 0.0000
P 0.0000 0.0000 0.0000
P 0.0000 0.5000 0.2500
P 0.5000 0.0000 0.7500
P 0.5000 0.5000 0.5000

# 5
! ThTaNi2As2 | Alexandria | PBE-GGA | relaxed; values from VASP
! **E_form**: -0.670 eV/atom
! **Magnetization**: 0.00 μB/cell
! **Space group**: P-3m1
! **E_tot**: -7.36 eV/atom
&SYSTEM
  ibrav = 0, nat = 6, ntyp = 4
/
ATOMIC_SPECIES
Th 232.04 Th.upf
Ta 180.95 Ta.upf
Ni 58.69 Ni.upf
As 74.92 As.upf
CELL_PARAMETERS angstrom
3.9887 0.0000 0.0000
-1.9943 3.4543 0.0000
0.0000 0.0000 7.4746
ATOMIC_POSITIONS crystal
Th 0.0000 0.0000 0.0000
Ta 0.0000 0.0000 0.5000
Ni 0.3333 0.6667 0.6958
Ni 0.6667 0.3333 0.3042
As 0.3333 0.6667 0.2685
As 0.6667 0.3333 0.7315

# 6
! Mn2In2As | Alexandria | PBE-GGA | relaxed; values from VASP
! **E_form**: 0.620 eV/atom
! **Magnetization**: 0.00 μB/cell
! **Space group**: P4/mbm
! **E_tot**: -5.07 eV/atom
! **E above lowest polymorph**: 11.22 kJ per mole of atoms
&SYSTEM
  ibrav = 0, nat = 10, ntyp = 3
/
ATOMIC_SPECIES
Mn 54.94 Mn.upf
In 114.82 In.upf
As 74.92 As.upf
CELL_PARAMETERS angstrom
8.0647 0.0000 0.0000
0.0000 8.0647 0.0000
0.0000 0.0000 2.8245
ATOMIC_POSITIONS crystal
Mn 0.0877 0.4123 0.0000
Mn 0.4123 0.9123 0.0000
Mn 0.5877 0.0877 0.0000
Mn 0.9123 0.5877 0.0000
In 0.1950 0.6950 0.5000
In 0.3050 0.1950 0.5000
In 0.6950 0.8050 0.5000
In 0.8050 0.3050 0.5000
As 0.0000 0.0000 0.5000
As 0.5000 0.5000 0.5000

# 7
! Cs2ErPuO6 | Alexandria | PBE-GGA | relaxed; values from VASP
! **Raw formation energy**: -2.46 eV/atom
! **Magnetization**: 1.00 μB/cell
! **Space group**: Fm-3m
! **E_tot**: -7.50 eV/atom
&SYSTEM
  ibrav = 0, nat = 10, ntyp = 4
/
ATOMIC_SPECIES
Cs 132.91 Cs.upf
Er 167.26 Er.upf
Pu 244.00 Pu.upf
O 16.00 O.upf
CELL_PARAMETERS angstrom
0.0000 4.3787 4.3787
4.3787 0.0000 4.3787
4.3787 4.3787 0.0000
ATOMIC_POSITIONS crystal
Cs 0.2500 0.2500 0.2500
Cs 0.7500 0.7500 0.7500
Er 0.0000 0.0000 0.0000
Pu 0.5000 0.5000 0.5000
O 0.2657 0.2657 0.7343
O 0.2657 0.7343 0.2657
O 0.2657 0.7343 0.7343
O 0.7343 0.2657 0.2657
O 0.7343 0.2657 0.7343
O 0.7343 0.7343 0.2657

# 8
! ScP3H | Alexandria | PBE-GGA | relaxed; values from VASP
! **Magnetization**: 0.83 μB/cell
! **Space group**: Pm-3m
! **E_tot**: -4.22 eV/atom
! **E above lowest polymorph**: 83.42 kJ per mole of atoms
&SYSTEM
  ibrav = 0, nat = 5, ntyp = 3
/
ATOMIC_SPECIES
Sc 44.96 Sc.upf
P 30.97 P.upf
H 1.01 H.upf
CELL_PARAMETERS angstrom
4.9332 0.0000 0.0000
0.0000 4.9332 0.0000
0.0000 0.0000 4.9332
ATOMIC_POSITIONS crystal
Sc 0.0000 0.0000 0.0000
P 0.0000 0.0000 0.5000
P 0.0000 0.5000 0.0000
P 0.5000 0.0000 0.0000
H 0.5000 0.5000 0.5000

# 9
! TlIn2Hg | Alexandria | PBE-GGA | relaxed; values from VASP
! **E_form**: 0.022 eV/atom
! **Magnetization**: 0.00 μB/cell
! **Space group**: C2
! **E_tot**: -2.01 eV/atom
&SYSTEM
  ibrav = 0, nat = 8, ntyp = 3
/
ATOMIC_SPECIES
Tl 204.38 Tl.upf
In 114.82 In.upf
Hg 200.59 Hg.upf
CELL_PARAMETERS angstrom
7.0683 0.0000 0.0000
0.0000 6.6705 0.0000
-3.5083 0.0000 4.6896
ATOMIC_POSITIONS crystal
Tl 0.0000 0.0000 0.0000
Tl 0.5000 0.5000 0.0000
In 0.0000 0.5003 0.0000
In 0.0000 0.7503 0.5000
In 0.5000 0.0003 0.0000
In 0.5000 0.2503 0.5000
Hg 0.0000 0.2507 0.5000
Hg 0.5000 0.7507 0.5000

# 10
! SrAcHo2 | Alexandria | PBE-GGA | relaxed; values from VASP
! **E_form**: 0.163 eV/atom
! **Magnetization**: 0.00 μB/cell
! **Space group**: P4/mmm
! **E_tot**: -3.57 eV/atom
! **E above lowest polymorph**: 0.00 kJ per mole of atoms
&SYSTEM
  ibrav = 0, nat = 4, ntyp = 3
/
ATOMIC_SPECIES
Sr 87.62 Sr.upf
Ac 227.00 Ac.upf
Ho 164.93 Ho.upf
CELL_PARAMETERS angstrom
3.8309 0.0000 0.0000
0.0000 3.8309 0.0000
0.0000 0.0000 10.5960
ATOMIC_POSITIONS crystal
Sr 0.0000 0.0000 0.0000
Ac 0.0000 0.0000 0.5000
Ho 0.5000 0.5000 0.2673
Ho 0.5000 0.5000 0.7327